1.
Material: PmCBr
Method: DFT, GGA-PBE
State: relaxed

```
PmCBr
1.0
-2.1302 -0.0416 -3.3147
-1.6139 -1.7536 3.4013
-3.9734 9.9075 2.4036
Pm C Br
2 2 2
Direct
0.8570 0.7125 0.8640
0.1430 0.2875 0.1360
0.5746 0.1488 0.9687
0.4254 0.8512 0.0313
0.1822 0.3610 0.6889
0.8178 0.6390 0.3111
```

## Properties
Calculated volume in Å³ per cell: 157.3
E above lowest polymorph in meV per atom: 0
ΔE_f (raw) in eV/atom: -1.0600
SG: P-1 (2)


2.
Material: SrTcBi2I
Method: DFT, GGA-PBE
State: relaxed

```
SrTcBi2I
1.0
-5.7141 -0.9570 -2.3622
-1.2208 -3.8236 4.5020
-2.2119 4.7433 3.4287
Tc Sr Bi I
1 1 2 1
Direct
0.5000 0.5000 0.5000
0.0000 0.0000 0.0000
0.0000 0.0000 0.5000
0.5000 0.0000 0.0000
0.0000 0.5000 0.0000
```

## Properties
Calculated volume in Å³ per cell: 236.1
ΔE_f (raw) in eV/atom: 1.1946
SG: P4/mmm (123)


3.
Material: Nd8HoEr5
Method: DFT, GGA-PBE
State: relaxed

```
Nd8HoEr5
1.0
-5.8992 -2.3382 5.7505
6.7538 -5.2615 0.1979
2.2703 8.0078 2.0143
Nd Ho Er
8 1 5
Direct
0.7331 0.2594 0.3372
0.6628 0.3959 0.9222
0.9248 0.0883 0.6574
0.0778 0.7406 0.4737
0.5263 0.6041 0.2669
0.1635 0.7326 0.0752
0.3426 0.2674 0.4309
0.5691 0.9117 0.8365
0.2500 0.5000 0.7500
0.5000 0.0000 0.5000
0.8702 0.9048 0.1822
0.8178 0.6880 0.7226
0.2774 0.0952 0.9654
0.0346 0.3120 0.1298
```

## Properties
Uncorrected energy in eV per atom: -4.43
Calculated volume in Å³ per cell: 482.3
SG: I-4 (82)


4.
Material: Cu3AgO
Method: DFT, GGA-PBE
State: relaxed

```
Cu3AgO
1.0
4.7028 0.0000 0.0000
0.0000 4.7028 0.0000
0.0000 0.0000 4.7028
O Cu Ag
1 3 1
Direct
0.5000 0.5000 0.5000
0.5000 0.0000 0.0000
0.0000 0.5000 0.0000
0.0000 0.0000 0.5000
0.0000 0.0000 0.0000
```

## Properties
Calculated volume in Å³ per cell: 104.0
E above lowest polymorph in meV per atom: 1395
ΔE_f (raw) in eV/atom: 1.3922
SG: Pm-3m (221)


5.
Material: ReAg2Se
Method: DFT, GGA-PBE
State: relaxed

```
ReAg2Se
1.0
6.5957 0.0119 0.0102
4.3483 4.9593 -0.0102
-5.0111 -3.5002 2.4779
Ag Re Se
2 1 1
Direct
0.6825 0.1825 0.5000
0.0292 0.0292 0.0000
0.4739 0.4739 0.0000
0.3144 0.8144 0.5000
```

## Properties
Calculated volume in Å³ per cell: 80.8
ΔE_f (raw) in eV/atom: 0.5260
SG: Imm2 (44)


6.
Material: PmH3Ru
Method: DFT, GGA-PBE
State: relaxed

```
PmH3Ru
1.0
-1.6477 3.3159 0.2721
-2.2900 -1.3505 2.5915
2.4135 0.9823 2.6446
H Pm Ru
3 1 1
Direct
0.0000 0.0000 0.5000
0.0000 0.5000 0.0000
0.5000 0.0000 0.0000
0.5000 0.5000 0.5000
0.0000 0.0000 0.0000
```

## Properties
Calculated volume in Å³ per cell: 51.2
E above lowest polymorph in meV per atom: 0
SG: Pm-3m (221)


7.
Material: ReHRuRh2
Method: DFT, GGA-PBE
State: relaxed

```
ReHRuRh2
1.0
-0.9908 -3.4461 -1.4378
3.7340 -0.9239 -0.3588
-0.0245 -1.5217 3.6641
Rh H Ru Re
2 1 1 1
Direct
0.0000 0.5000 0.0000
0.5000 0.0000 0.0000
0.0000 0.0000 0.0000
0.0000 0.0000 0.5000
0.5000 0.5000 0.5000
```

## Properties
Calculated volume in Å³ per cell: 59.2
E above lowest polymorph in meV per atom: 0
SG: P4/mmm (123)


8.
Material: SrLiDy2Hg4
Method: DFT, GGA-PBE
State: relaxed

```
SrLiDy2Hg4
1.0
5.1589 0.0000 0.0000
2.5795 4.4678 0.0000
2.5795 1.4893 9.0669
Li Hg Sr Dy
1 4 1 2
Direct
0.5000 0.5000 0.5000
0.3930 0.3930 0.8211
0.1267 0.1267 0.6200
0.8733 0.8733 0.3800
0.6070 0.6070 0.1789
0.0000 0.0000 0.0000
0.2399 0.2399 0.2802
0.7601 0.7601 0.7198
```

## Properties
Uncorrected energy in eV per atom: -2.18
Calculated volume in Å³ per cell: 209.0
SG: R-3m (166)


9.
Material: Al2FeP
Method: DFT, GGA-PBE
State: relaxed

```
Al2FeP
1.0
-2.6392 -1.0772 2.4772
2.2107 -1.5749 1.6705
1.8861 2.8818 3.2626
Al P Fe
2 1 1
Direct
0.5000 0.2840 0.3075
0.0000 0.9682 0.9379
0.5000 0.5572 0.7609
0.0000 0.6906 0.4937
```

## Properties
Uncorrected energy in eV per atom: -5.65
Calculated volume in Å³ per cell: 53.8
SG: Amm2 (38)


10.
Material: Ce4Hg
Method: DFT, GGA-PBE
State: relaxed

```
Ce4Hg
1.0
3.0163 0.0018 -0.7512
-0.4273 4.8096 -1.7021
0.4881 0.2878 8.3885
Hg Ce
1 4
Direct
0.5000 0.0000 0.5000
0.1925 0.1926 0.8852
0.8966 0.3967 0.2932
0.1034 0.6033 0.7068
0.8075 0.8073 0.1148
```

## Properties
Calculated volume in Å³ per cell: 125.0
E above lowest polymorph in meV per atom: 0
SG: Immm (71)


11.
Material: CoTeOs2
Method: DFT, GGA-PBE
State: relaxed

```
CoTeOs2
1.0
2.8980 0.0000 0.0000
0.0000 3.6728 0.0000
0.0000 0.0000 5.8923
Os Te Co
2 1 1
Direct
0.5000 0.5000 0.1997
0.0000 0.0000 0.9955
0.0000 0.0000 0.5383
0.5000 0.5000 0.7665
```

## Properties
Calculated volume in Å³ per cell: 62.7
ΔE_f (raw) in eV/atom: 0.5847
SG: Pmm2 (25)


12.
Material: Zr2AlZnRe
Method: DFT, GGA-PBE
State: relaxed

```
Zr2AlZnRe
1.0
4.9595 0.0000 0.0000
0.0000 4.2485 0.0000
0.0000 0.0000 4.9595
Al Zr Zn Re
1 2 1 1
Direct
0.0000 0.0000 0.0000
0.0000 0.0000 0.5000
0.5000 0.0000 0.0000
0.0000 0.5000 0.0000
0.5000 0.5000 0.5000
```

## Properties
Uncorrected energy in eV per atom: -5.85
Calculated volume in Å³ per cell: 104.5
SG: P4/mmm (123)


13.
Material: NaMgAu4
Method: DFT, GGA-PBE
State: relaxed

```
NaMgAu4
1.0
6.2850 0.0000 0.3006
0.0000 6.7884 0.0000
-1.4689 -3.3942 6.1138
Au Mg Na
8 2 2
Direct
0.0000 0.2049 0.0000
0.3527 0.1081 0.7904
0.6473 0.3177 0.2096
0.0000 0.7951 0.0000
0.4946 0.2616 0.5232
0.5054 0.7384 0.4768
0.3527 0.6823 0.7904
0.6473 0.8919 0.2096
0.2838 0.5381 0.0762
0.7162 0.4619 0.9238
0.9822 0.7450 0.4899
0.0178 0.2550 0.5101
```

## Properties
Calculated volume in Å³ per cell: 263.8
E above lowest polymorph in meV per atom: 57
SG: C2/m (12)


14.
Material: Pt2PbW
Method: DFT, GGA-PBE
State: relaxed

```
Pt2PbW
1.0
2.9504 0.0000 0.0000
0.0000 2.9535 0.0019
0.0000 3.0560 8.5835
Pt W Pb
2 1 1
Direct
0.0000 0.5357 0.4569
0.0000 0.9643 0.0431
0.5000 0.2500 0.2500
0.5000 0.7500 0.7500
```

## Properties
Uncorrected energy in eV per atom: -7.21
Calculated volume in Å³ per cell: 74.8
SG: P2/m (10)


15.
Material: BeRhC3
Method: DFT, GGA-PBE
State: relaxed

```
BeRhC3
1.0
-2.6964 1.3531 -1.8836
1.1165 -1.7744 -2.8731
-2.0328 -2.7695 0.9205
Be C Rh
1 3 1
Direct
0.0000 0.0000 0.0000
0.5000 0.0000 0.0000
0.0000 0.0000 0.5000
0.0000 0.5000 0.0000
0.5000 0.5000 0.5000
```

## Properties
Calculated volume in Å³ per cell: 45.0
E above lowest polymorph in meV per atom: 0
SG: Pm-3m (221)


16.
Material: PmHoInBi
Method: DFT, GGA-PBE
State: relaxed

```
PmHoInBi
1.0
-5.1281 0.8370 -1.7217
-2.7849 -4.0654 -2.3832
-4.1868 -2.3553 2.6241
Pm In Bi Ho
1 1 1 1
Direct
0.2500 0.2500 0.2500
0.0000 0.0000 0.0000
0.5000 0.5000 0.5000
0.7500 0.7500 0.7500
```

## Properties
Uncorrected energy in eV per atom: -4.45
Calculated volume in Å³ per cell: 116.0
SG: F-43m (216)


17.
Material: ZrFeCo3
Method: DFT, GGA-PBE
State: relaxed

```
ZrFeCo3
1.0
-3.4300 0.4951 -3.2388
4.1449 -5.4877 -5.2285
-1.9905 -0.0186 5.5786
Co Zr Fe
6 2 2
Direct
0.6874 0.6874 0.8749
0.2500 0.9422 0.5000
0.7500 0.0578 0.5000
0.1874 0.6874 0.8749
0.3126 0.3126 0.1251
0.8126 0.3126 0.1251
0.7500 0.7589 0.5000
0.2500 0.2411 0.5000
0.0000 0.5000 0.0000
0.5000 0.0000 0.0000
```

## Properties
Calculated volume in Å³ per cell: 134.7
E above lowest polymorph in meV per atom: 0
SG: Imma (74)


18.
Material: Ho3HfH
Method: DFT, GGA-PBE
State: relaxed

```
Ho3HfH
1.0
4.8196 0.0000 0.0000
0.0000 4.8196 0.0000
0.0000 0.0000 4.8196
Ho H Hf
3 1 1
Direct
0.0000 0.0000 0.5000
0.5000 0.0000 0.0000
0.0000 0.5000 0.0000
0.0000 0.0000 0.0000
0.5000 0.5000 0.5000
```

## Properties
Uncorrected energy in eV per atom: -5.46
Calculated volume in Å³ per cell: 112.0
SG: Pm-3m (221)


19.
Material: LiMg3
Method: DFT, GGA-PBE
State: relaxed

```
LiMg3
1.0
5.1475 0.0000 0.0000
0.0000 5.1475 0.0000
0.0000 0.0000 5.1475
Mg Li
3 1
Direct
0.0000 0.5000 0.0000
0.0000 0.0000 0.5000
0.5000 0.0000 0.0000
0.0000 0.0000 0.0000
```

## Properties
Uncorrected energy in eV per atom: -1.13
Calculated volume in Å³ per cell: 136.4
SG: Pm-3m (221)


20.
Material: TbGa6
Method: DFT, GGA-PBE
State: relaxed

```
TbGa6
1.0
-3.2087 -2.0887 -4.6064
0.7265 -5.5889 2.0282
-6.3389 0.6684 4.1124
Ga Tb
12 2
Direct
0.5000 0.5000 0.8374
0.8220 0.6780 0.3528
0.3220 0.1780 0.6472
0.0000 0.0000 0.1626
0.6780 0.8220 0.6472
0.1780 0.3220 0.3528
0.0000 0.0000 0.8374
0.1780 0.6780 0.6472
0.8220 0.3220 0.6472
0.5000 0.5000 0.1626
0.6780 0.1780 0.3528
0.3220 0.8220 0.3528
0.5000 0.0000 0.0000
0.0000 0.5000 0.0000
```

## Properties
Calculated volume in Å³ per cell: 272.2
E above lowest polymorph in meV per atom: 0
SG: P4/nbm (125)


21.
Material: NdAlCuPt2
Method: DFT, GGA-PBE
State: relaxed

```
NdAlCuPt2
1.0
3.9697 0.0000 0.0000
0.0000 3.9697 0.0000
-1.9849 -1.9849 6.0071
Nd Pt Cu Al
1 2 1 1
Direct
0.0000 0.0000 0.0000
0.6145 0.6145 0.2290
0.3855 0.3855 0.7710
0.2500 0.7500 0.5000
0.7500 0.2500 0.5000
```

## Properties
Uncorrected energy in eV per atom: -5.79
Calculated volume in Å³ per cell: 94.7
SG: I-4m2 (119)


22.
Material: ZnS
Method: DFT, GGA-PBE
State: relaxed

```
ZnS
1.0
-8.7635 2.4636 1.9302
2.6242 -1.3220 -8.8294
-1.0067 -3.7912 0.2685
Zn S
6 6
Direct
0.9270 0.3384 0.2500
0.4115 0.0730 0.2500
0.6616 0.5885 0.2500
0.0730 0.6616 0.7500
0.5885 0.9270 0.7500
0.3384 0.4115 0.7500
0.9115 0.5931 0.2500
0.3184 0.9115 0.7500
0.5931 0.6816 0.7500
0.0885 0.4069 0.7500
0.6816 0.0885 0.2500
0.4069 0.3184 0.2500
```

## Properties
Calculated volume in Å³ per cell: 294.8
ΔE_f (raw) in eV/atom: -0.7110
SG: P6_3/m (176)


23.
Material: KSr2PbO
Method: DFT, GGA-PBE
State: relaxed

```
KSr2PbO
1.0
5.1676 0.0000 0.0000
0.0000 5.1676 0.0000
0.0000 0.0000 5.4772
Sr K Pb O
2 1 1 1
Direct
0.0000 0.5000 0.0000
0.5000 0.0000 0.0000
0.0000 0.0000 0.5000
0.5000 0.5000 0.5000
0.0000 0.0000 0.0000
```

## Properties
Calculated volume in Å³ per cell: 146.3
ΔE_f (raw) in eV/atom: -1.1666
SG: P4/mmm (123)


24.
Material: CeSn2Sb
Method: DFT, GGA-PBE
State: relaxed

```
CeSn2Sb
1.0
-2.1219 -2.0105 -1.5365
1.0608 -2.8530 -1.2806
-2.6876 -7.2297 9.6227
Sb Sn Ce
1 2 1
Direct
0.5000 0.5000 0.5000
0.0889 0.0889 0.7332
0.9111 0.9111 0.2668
0.0000 0.0000 0.0000
```

## Properties
Calculated volume in Å³ per cell: 115.1
E above lowest polymorph in meV per atom: 787
ΔE_f (raw) in eV/atom: 0.2253
SG: R-3m (166)


25.
Material: Rb2NbGaNi
Method: DFT, GGA-PBE
State: relaxed

```
Rb2NbGaNi
1.0
-4.8125 1.5400 -4.4912
-2.8967 -2.6513 2.1948
-1.8955 5.2399 3.8279
Ni Ga Rb Nb
1 1 2 1
Direct
0.0000 0.5000 0.0000
0.5000 0.5000 0.5000
0.0000 0.0000 0.5000
0.5000 0.0000 0.0000
0.0000 0.0000 0.0000
```

## Properties
Uncorrected energy in eV per atom: -2.90
Calculated volume in Å³ per cell: 205.6
SG: P4/mmm (123)


26.
Material: YRhC2
Method: DFT, GGA-PBE
State: relaxed

```
YRhC2
1.0
0.0000 2.8976 2.8976
2.8976 0.0000 2.8976
2.8976 2.8976 0.0000
C Y Rh
2 1 1
Direct
0.2500 0.2500 0.2500
0.7500 0.7500 0.7500
0.0000 0.0000 0.0000
0.5000 0.5000 0.5000
```

## Properties
Uncorrected energy in eV per atom: -7.31
Calculated volume in Å³ per cell: 48.7
SG: Fm-3m (225)